No. 1
Entry from Alexandria via LeMat-Bulk: ZnOs2Br after structural relaxation (PBE-GGA).

abc: 4.4295 2.9162 5.2605
angles: 100.22 90.00 90.00
Positions (direct):
Br 0.5000 0.7500 0.7500
Os 0.0000 0.9046 0.0410
Os 0.0000 0.5954 0.4590
Zn 0.5000 0.2500 0.2500

Calculated values
Raw formation energy = 0.994 eV per atom
N(E_F) = 3.269 states/eV/cell

***

No. 2
Entry from Alexandria via LeMat-Bulk: Zn2OsBr after structural relaxation (PBE-GGA).

abc: 4.5228 4.5228 4.5228
angles: 60.00 60.00 60.00
Positions (direct):
Br 0.5000 0.5000 0.5000
Os 0.7500 0.7500 0.7500
Zn 0.0000 0.0000 0.0000
Zn 0.2500 0.2500 0.2500

Calculated values
Raw formation energy = 0.937 eV per atom
N(E_F) = 5.510 states/eV/cell

***

No. 3
Entry from Alexandria via LeMat-Bulk: Zn2OsBr after structural relaxation (PBE-GGA).

abc: 2.9654 4.7511 4.7511
angles: 90.00 90.00 90.00
Positions (direct):
Br 0.5000 0.5000 0.0000
Os 0.5000 0.0000 0.5000
Zn 0.0000 0.0000 0.0000
Zn 0.0000 0.5000 0.5000

Calculated values
Raw formation energy = 0.621 eV per atom
N(E_F) = 1.965 states/eV/cell

***

No. 4
Entry from Alexandria via LeMat-Bulk: ZnOs2Br after structural relaxation (PBE-GGA).

abc: 2.9377 2.9300 8.0915
angles: 89.95 90.00 90.00
Positions (direct):
Br 0.5000 0.7509 0.7739
Os 0.0000 0.7500 0.0398
Os 0.5000 0.2496 0.2367
Zn 0.0000 0.7495 0.4496

Calculated values
Raw formation energy = 0.381 eV per atom
N(E_F) = 2.547 states/eV/cell

***

No. 5
Entry from Alexandria via LeMat-Bulk: Zn2OsBr after structural relaxation (PBE-GGA).

abc: 2.9121 4.6199 4.9136
angles: 90.00 90.00 90.00
Positions (direct):
Br 0.5000 0.0000 0.5000
Os 0.0000 0.5000 0.5000
Zn 0.0000 0.0000 0.0000
Zn 0.5000 0.5000 0.0000

Calculated values
Raw formation energy = 0.799 eV per atom
N(E_F) = 2.831 states/eV/cell

***

No. 6
Entry from Alexandria via LeMat-Bulk: Zn2OsBr after structural relaxation (PBE-GGA).

abc: 9.8613 9.8613 9.8613
angles: 17.18 17.18 17.18
Positions (direct):
Br 0.4818 0.4818 0.4818
Os 0.7458 0.7458 0.7458
Zn 0.0091 0.0091 0.0091
Zn 0.2633 0.2633 0.2633

Calculated values
Raw formation energy = 0.613 eV per atom
N(E_F) = 2.823 states/eV/cell

***

No. 7
Entry from Alexandria via LeMat-Bulk: ZnOsBr4 after structural relaxation (PBE-GGA).

abc: 6.2436 6.2436 6.2436
angles: 60.00 60.00 60.00
Positions (direct):
Zn 0.0000 0.0000 0.0000
Os 0.7500 0.7500 0.7500
Br 0.8742 0.3753 0.3753
Br 0.3753 0.3753 0.8742
Br 0.3753 0.8742 0.3753
Br 0.3753 0.3753 0.3753

Calculated values
Raw formation energy = 1.571 eV per atom
N(E_F) = 11.020 states/eV/cell

***

No. 8
Entry from Alexandria via LeMat-Bulk: ZnOsBr after structural relaxation (PBE-GGA).

abc: 6.5235 6.5235 6.5235
angles: 152.83 152.83 38.81
Positions (direct):
Br 0.9686 0.9686 0.0000
Os 0.3231 0.3231 0.0000
Zn 0.7082 0.7082 0.0000

Calculated values
Raw formation energy = 0.832 eV per atom
N(E_F) = 3.440 states/eV/cell

***

No. 9
Entry from Alexandria via LeMat-Bulk: ZnOs3Br after structural relaxation (PBE-GGA).

abc: 4.6311 4.6311 4.6311
angles: 90.00 90.00 90.00
Positions (direct):
Zn 0.0000 0.0000 0.0000
Os 0.0000 0.5000 0.0000
Os 0.0000 0.0000 0.5000
Os 0.5000 0.0000 0.0000
Br 0.5000 0.5000 0.5000

Calculated values
Raw formation energy = 2.573 eV per atom
N(E_F) = 6.553 states/eV/cell

***

No. 10
Entry from Alexandria via LeMat-Bulk: Zn2OsBr8 after structural relaxation (PBE-GGA).

abc: 6.4486 8.2952 8.2952
angles: 57.72 89.87 89.87
Positions (direct):
Zn 0.4167 0.1620 0.1620
Zn 0.5833 0.8380 0.8380
Os 0.0000 0.0000 0.0000
Br 0.7590 0.1516 0.7190
Br 0.2410 0.2810 0.8484
Br 0.8092 0.1501 0.1501
Br 0.1908 0.8499 0.8499
Br 0.7590 0.7190 0.1516
Br 0.2410 0.8484 0.2810
Br 0.3615 0.3198 0.3198
Br 0.6385 0.6802 0.6802

Calculated values
Raw formation energy = -0.470 eV per atom
N(E_F) = 1.707 states/eV/cell

***

No. 11
Entry from Alexandria via LeMat-Bulk: ZnOs2Br after structural relaxation (PBE-GGA).

abc: 5.4575 5.4575 5.3069
angles: 59.38 59.38 30.57
Positions (direct):
Br 0.2882 0.2882 0.2138
Os 0.0202 0.0202 0.8871
Os 0.7166 0.7166 0.9038
Zn 0.4751 0.4751 0.4952

Calculated values
Raw formation energy = 0.909 eV per atom
N(E_F) = 2.350 states/eV/cell

***

No. 12
Entry from Alexandria via LeMat-Bulk: ZnOs2Br after structural relaxation (PBE-GGA).

abc: 4.4004 4.4004 4.4004
angles: 60.00 60.00 60.00
Positions (direct):
Zn 0.0000 0.0000 0.0000
Os 0.2500 0.2500 0.2500
Os 0.7500 0.7500 0.7500
Br 0.5000 0.5000 0.5000

Calculated values
Raw formation energy = 1.275 eV per atom
N(E_F) = 2.675 states/eV/cell